No. 1
The following is a DFT calculation (GGA-PBE) of ZrZnRh3 after structural relaxation.

Unit cell a=4.4859 b=4.4859 c=4.4859 alpha=90.00 beta=90.00 gamma=90.00
Closest atoms and distances in Å follow each position.
Positions (direct):
Zr (0.0000, 0.0000, 0.0000)  12 Rh 3.17
Zn (0.5000, 0.5000, 0.5000)  6 Rh 2.24
Rh (0.0000, 0.5000, 0.5000)  2 Zn 2.24
Rh (0.5000, 0.0000, 0.5000)  2 Zn 2.24
Rh (0.5000, 0.5000, 0.0000)  2 Zn 2.24

polymorph energy (0 for the lowest one): 2.70 eV/f.u.
N(E_F): 7.047 states/eV per cell
energy: -6.08 eV per atom
space group: Pm-3m

=====

No. 2
The following is a DFT calculation (GGA-PBE) of La2ZrTl3Te6 after structural relaxation.

Unit cell a=7.7684 b=7.7684 c=8.6228 alpha=98.67 beta=98.67 gamma=119.94
Closest atoms and distances in Å follow each position.
Positions (direct):
La (0.1651, 0.8349, 0.0000)  6 Te 3.22-3.24
La (0.8349, 0.1651, 0.0000)  6 Te 3.22-3.24
Zr (0.5000, 0.5000, 0.0000)  6 Te 2.99-3.02
Tl (0.0000, 0.0000, 0.5000)  6 Te 3.43-3.60
Tl (0.3263, 0.6737, 0.5000)  6 Te 3.43-3.56
Tl (0.6737, 0.3263, 0.5000)  6 Te 3.43-3.56
Te (0.1185, 0.4288, 0.7844)  1 Zr 2.99, 2 La 3.22-3.23
Te (0.2651, 0.2651, 0.2227)  1 Zr 3.02, 2 La 3.24
Te (0.4288, 0.1185, 0.7844)  1 Zr 2.99, 2 La 3.22-3.23
Te (0.5712, 0.8815, 0.2156)  1 Zr 2.99, 2 La 3.22-3.23
Te (0.7349, 0.7349, 0.7773)  1 Zr 3.02, 2 La 3.24
Te (0.8815, 0.5712, 0.2156)  1 Zr 2.99, 2 La 3.22-3.23

N(E_F): 5.630 states/eV per cell
raw formation energy: -1100 kJ/mol of formula units
energy: -4.65 eV per atom
space group: C2/m